VASP calculation (PBE) on SrSb4Pd6 after structural relaxation.

Calculated values
magnetic moment	0.000	μB/atom
energy	-54.87	eV/cell
ΔE_f (raw)	-0.50	eV per atom
volume	21.94	Å³ per atom

Unit cell a=6.9676 b=6.9676 c=6.9676 alpha=119.40 beta=119.40 gamma=91.04
Last column: nearest neighbours and their distance in Å.
Fractional coordinates of all 11 atoms:
Sr1 0.0000 0.0000 0.0000  4 Sb 3.26, 8 Pd 3.52-3.58
Sb1 0.1291 0.5531 0.0000  4 Pd 2.60-2.69
Sb2 0.4469 0.4469 0.5760  4 Pd 2.60-2.69
Sb3 0.5531 0.1291 0.0000  4 Pd 2.60-2.69
Sb4 0.8709 0.8709 0.4240  4 Pd 2.60-2.69
Pd1 0.0000 0.5000 0.5000  4 Pd 2.87, 4 Sb 2.95
Pd2 0.2323 0.2323 0.6866  4 Sb 2.60-2.69, 2 Pd 2.87
Pd3 0.4543 0.7677 0.0000  4 Sb 2.60-2.69, 2 Pd 2.87
Pd4 0.5000 0.0000 0.5000  4 Pd 2.87, 4 Sb 2.95
Pd5 0.5457 0.5457 0.3134  4 Sb 2.60-2.69, 2 Pd 2.87
Pd6 0.7677 0.4543 0.0000  4 Sb 2.60-2.69, 2 Pd 2.87